Material: TiV8W2
Method: DFT, GGA-PBE
State: optimized geometry

a b c (Å): 11.698 4.473 7.739
angles (deg): 90.00 126.96 90.00
Space group C2/m (No. 12)
One atom of each set of equivalent atoms:
Ti: 0.000 0.000 0.000
V: 0.053 0.500 0.870
V: 0.057 0.000 0.394
V: 0.188 0.500 0.338
V: 0.198 0.000 0.868
W: 0.145 0.500 0.634

The calculation puts the calculated volume at 14.71 Å³/atom. Its density is 8.45 Mg/m³. For the electronic total energy, the calculation gives -9.51 eV per atom. The calculation puts the formation energy from the elements at 0.193 eV/atom.